## w
Computed, not measured: an optimized crystal structure of BeGeTeMo at the PBE level of DFT.

Calculated values
V = 68.0 Å³/cell

```
BeGeTeMo
1.0
0.000 3.239 3.239
3.239 0.000 3.239
3.239 3.239 0.000
Ge Te Be Mo
1 1 1 1
Direct
0.250 0.250 0.250
0.500 0.500 0.500
0.750 0.750 0.750
0.000 0.000 0.000
```

## x
Computed, not measured: an optimized crystal structure of BeGeTeMo at the PBE level of DFT.

Calculated values
V = 67.1 Å³/cell

```
BeGeTeMo
1.0
0.000 3.226 3.226
3.226 0.000 3.226
3.226 3.226 0.000
Be Ge Te Mo
1 1 1 1
Direct
0.750 0.750 0.750
0.000 0.000 0.000
0.500 0.500 0.500
0.250 0.250 0.250
```

What should be chosen as the most stable of them? Choose x.

## w
Computed, not measured: an optimized crystal structure of BeNb2Ge at the PBE level of DFT.

Calculated values
V = 119.0 Å³/cell

```
BeNb2Ge
1.0
-1.772 -2.753 -3.893
0.058 -2.908 2.030
-5.324 2.559 3.818
Ge Nb Be
2 4 2
Direct
0.638 0.250 0.283
0.362 0.750 0.717
0.800 0.750 0.582
0.812 0.750 0.071
0.188 0.250 0.929
0.200 0.250 0.418
0.345 0.750 0.211
0.655 0.250 0.789
```

## x
Computed, not measured: an optimized crystal structure of BeNb2Ge at the PBE level of DFT.

Calculated values
V = 62.1 Å³/cell

```
BeNb2Ge
1.0
0.993 -3.734 2.197
-1.107 -0.419 4.284
-3.236 -2.803 1.195
Ge Be Nb
1 1 2
Direct
0.500 0.500 0.500
0.250 0.250 0.250
0.000 0.000 0.000
0.750 0.750 0.750
```

What should be chosen as the most stable of them? Choose w.

## w
Computed, not measured: an optimized crystal structure of BeNbNiGe at the PBE level of DFT.

Calculated values
V = 52.7 Å³/cell

```
BeNbNiGe
1.0
-3.982 -0.989 0.935
-2.155 2.334 2.760
-3.146 2.459 -1.328
Ge Nb Be Ni
1 1 1 1
Direct
0.000 0.000 0.000
0.500 0.500 0.500
0.250 0.250 0.250
0.750 0.750 0.750
```

## x
Computed, not measured: an optimized crystal structure of BeNbNiGe at the PBE level of DFT.

Calculated values
V = 52.8 Å³/cell

```
BeNbNiGe
1.0
0.000 2.978 2.978
2.978 0.000 2.978
2.978 2.978 0.000
Ni Nb Ge Be
1 1 1 1
Direct
0.750 0.750 0.750
0.250 0.250 0.250
0.000 0.000 0.000
0.500 0.500 0.500
```

What should be chosen as the most stable of them? Choose x.

## w
Computed, not measured: an optimized crystal structure of BeNbTcGe at the PBE level of DFT.

Calculated values
V = 56.6 Å³/cell

```
BeNbTcGe
1.0
0.000 3.047 3.047
3.047 0.000 3.047
3.047 3.047 0.000
Nb Be Tc Ge
1 1 1 1
Direct
0.500 0.500 0.500
0.750 0.750 0.750
0.250 0.250 0.250
0.000 0.000 0.000
```

## x
Computed, not measured: an optimized crystal structure of BeNbTcGe at the PBE level of DFT.

Calculated values
V = 55.9 Å³/cell

```
BeNbTcGe
1.0
-1.004 -3.354 -2.483
-3.885 -1.800 0.294
-2.828 0.466 -3.195
Be Nb Ge Tc
1 1 1 1
Direct
0.750 0.750 0.750
0.500 0.500 0.500
0.250 0.250 0.250
0.000 0.000 0.000
```

What should be chosen as the most stable of them? Choose w.

## w
Computed, not measured: an optimized crystal structure of ScBeNiGe at the PBE level of DFT.

Calculated values
V = 55.4 Å³/cell

```
ScBeNiGe
1.0
-3.900 -1.738 0.271
-3.468 2.505 -0.066
-2.580 -0.008 -3.413
Ge Ni Be Sc
1 1 1 1
Direct
0.000 0.000 0.000
0.500 0.500 0.500
0.250 0.250 0.250
0.750 0.750 0.750
```

## x
Computed, not measured: an optimized crystal structure of ScBeNiGe at the PBE level of DFT.

Calculated values
V = 54.9 Å³/cell

```
ScBeNiGe
1.0
0.000 3.016 3.016
3.016 0.000 3.016
3.016 3.016 0.000
Ge Sc Ni Be
1 1 1 1
Direct
0.000 0.000 0.000
0.250 0.250 0.250
0.750 0.750 0.750
0.500 0.500 0.500
```

## y
Computed, not measured: an optimized crystal structure of ScBeNiGe at the PBE level of DFT.

Calculated values
V = 53.7 Å³/cell

```
ScBeNiGe
1.0
0.707 0.392 4.157
1.388 3.678 1.574
-2.568 2.394 2.368
Be Sc Ge Ni
1 1 1 1
Direct
0.500 0.500 0.500
0.750 0.750 0.750
0.250 0.250 0.250
0.000 0.000 0.000
```

What should be chosen as the most stable of them? Choose y.

## w
Computed, not measured: an optimized crystal structure of TaBeNiGe at the PBE level of DFT.

Calculated values
V = 52.9 Å³/cell

```
TaBeNiGe
1.0
0.000 2.980 2.980
2.980 0.000 2.980
2.980 2.980 0.000
Ta Be Ni Ge
1 1 1 1
Direct
0.250 0.250 0.250
0.500 0.500 0.500
0.750 0.750 0.750
0.000 0.000 0.000
```

## x
Computed, not measured: an optimized crystal structure of TaBeNiGe at the PBE level of DFT.

Calculated values
V = 52.7 Å³/cell

```
TaBeNiGe
1.0
0.000 2.976 2.976
2.976 0.000 2.976
2.976 2.976 0.000
Ge Ta Be Ni
1 1 1 1
Direct
0.000 0.000 0.000
0.500 0.500 0.500
0.250 0.250 0.250
0.750 0.750 0.750
```

What should be chosen as the most stable of them? Choose w.

## w
Computed, not measured: an optimized crystal structure of PaBeGe at the PBE level of DFT.

Calculated values
V = 53.6 Å³/cell

```
PaBeGe
1.0
3.859 0.000 0.000
-1.930 3.342 0.000
0.000 0.000 4.155
Pa Be Ge
1 1 1
Direct
0.667 0.333 0.333
0.000 0.000 0.833
0.333 0.667 0.833
```

## x
Computed, not measured: an optimized crystal structure of PaBeGe at the PBE level of DFT.

Calculated values
V = 62.9 Å³/cell

```
PaBeGe
1.0
3.597 -1.229 2.341
-0.491 -2.048 3.937
1.026 -4.326 0.409
Be Pa Ge
1 1 1
Direct
0.250 0.250 0.250
0.750 0.750 0.750
0.000 0.000 0.000
```

What should be chosen as the most stable of them? Choose w.

## w
Computed, not measured: an optimized crystal structure of BeZnGePd at the PBE level of DFT.

Calculated values
V = 56.6 Å³/cell

```
BeZnGePd
1.0
-1.935 -3.781 -0.735
-0.869 -2.651 3.286
-4.079 -0.614 1.253
Be Pd Ge Zn
1 1 1 1
Direct
0.750 0.750 0.750
0.500 0.500 0.500
0.000 0.000 0.000
0.250 0.250 0.250
```

## x
Computed, not measured: an optimized crystal structure of BeZnGePd at the PBE level of DFT.

Calculated values
V = 56.1 Å³/cell

```
BeZnGePd
1.0
0.000 3.038 3.038
3.038 0.000 3.038
3.038 3.038 0.000
Zn Be Pd Ge
1 1 1 1
Direct
0.000 0.000 0.000
0.750 0.750 0.750
0.500 0.500 0.500
0.250 0.250 0.250
```

What should be chosen as the most stable of them? Choose w.

## w
Computed, not measured: an optimized crystal structure of SrBeGePt at the PBE level of DFT.

Calculated values
V = 71.7 Å³/cell

```
SrBeGePt
1.0
0.000 3.297 3.297
3.297 0.000 3.297
3.297 3.297 0.000
Sr Ge Be Pt
1 1 1 1
Direct
0.000 0.000 0.000
0.250 0.250 0.250
0.750 0.750 0.750
0.500 0.500 0.500
```

## x
Computed, not measured: an optimized crystal structure of SrBeGePt at the PBE level of DFT.

Calculated values
V = 77.6 Å³/cell

```
SrBeGePt
1.0
0.000 3.385 3.385
3.385 0.000 3.385
3.385 3.385 0.000
Be Ge Pt Sr
1 1 1 1
Direct
0.750 0.750 0.750
0.000 0.000 0.000
0.500 0.500 0.500
0.250 0.250 0.250
```

What should be chosen as the most stable of them? Choose w.

## w
Computed, not measured: an optimized crystal structure of BeZnGePt at the PBE level of DFT.

Calculated values
V = 56.1 Å³/cell

```
BeZnGePt
1.0
-3.753 -1.256 1.672
-3.532 -0.048 -2.446
-1.737 -3.745 -1.192
Zn Be Ge Pt
1 1 1 1
Direct
0.000 0.000 0.000
0.750 0.750 0.750
0.250 0.250 0.250
0.500 0.500 0.500
```

## x
Computed, not measured: an optimized crystal structure of BeZnGePt at the PBE level of DFT.

Calculated values
V = 57.2 Å³/cell

```
BeZnGePt
1.0
-3.676 -1.046 2.027
-2.054 2.946 2.411
-3.761 1.657 -1.349
Be Ge Pt Zn
1 1 1 1
Direct
0.750 0.750 0.750
0.000 0.000 0.000
0.500 0.500 0.500
0.250 0.250 0.250
```

What should be chosen as the most stable of them? Choose w.

## w
Computed, not measured: an optimized crystal structure of BeTcGeSb at the PBE level of DFT.

Calculated values
V = 64.8 Å³/cell

```
BeTcGeSb
1.0
0.000 3.189 3.189
3.189 0.000 3.189
3.189 3.189 0.000
Ge Sb Be Tc
1 1 1 1
Direct
0.250 0.250 0.250
0.000 0.000 0.000
0.750 0.750 0.750
0.500 0.500 0.500
```

## x
Computed, not measured: an optimized crystal structure of BeTcGeSb at the PBE level of DFT.

Calculated values
V = 63.9 Å³/cell

```
BeTcGeSb
1.0
4.109 -1.691 -0.632
0.836 -4.296 0.994
0.724 -2.965 -3.290
Be Sb Tc Ge
1 1 1 1
Direct
0.750 0.750 0.750
0.000 0.000 0.000
0.250 0.250 0.250
0.500 0.500 0.500
```

What should be chosen as the most stable of them? Choose x.

## w
Computed, not measured: an optimized crystal structure of BeGeTeW at the PBE level of DFT.

Calculated values
V = 68.9 Å³/cell

```
BeGeTeW
1.0
-1.234 -3.677 2.477
-4.455 -0.882 0.747
-2.012 -3.591 -2.058
W Ge Te Be
1 1 1 1
Direct
0.000 0.000 0.000
0.500 0.500 0.500
0.250 0.250 0.250
0.750 0.750 0.750
```

## x
Computed, not measured: an optimized crystal structure of BeGeTeW at the PBE level of DFT.

Calculated values
V = 67.9 Å³/cell

```
BeGeTeW
1.0
0.000 3.238 3.238
3.238 0.000 3.238
3.238 3.238 0.000
Te W Ge Be
1 1 1 1
Direct
0.500 0.500 0.500
0.000 0.000 0.000
0.250 0.250 0.250
0.750 0.750 0.750
```

## y
Computed, not measured: an optimized crystal structure of BeGeTeW at the PBE level of DFT.

Calculated values
V = 67.3 Å³/cell

```
BeGeTeW
1.0
0.000 3.229 3.229
3.229 0.000 3.229
3.229 3.229 0.000
Te W Be Ge
1 1 1 1
Direct
0.500 0.500 0.500
0.250 0.250 0.250
0.750 0.750 0.750
0.000 0.000 0.000
```

What should be chosen as the most stable of them? Choose y.